Arrangement 1

This record from Alexandria describes a geometry-optimized K2C3 structure. The functional is PBE.

Structure (extended XYZ):
```
10
Lattice="3.864 1.112 7.806 3.554 5.409 3.101 -2.906 0.049 5.678" Properties=species:S:1:pos:R:3 pbc="T T T"
C 2.740 5.798 12.634
C 4.618 5.103 6.426
C 1.612 4.155 8.488
C 0.216 1.030 10.062
C 0.580 3.504 7.972
C 2.646 4.802 9.002
K 1.330 0.787 7.082
K 5.112 3.175 8.919
K 2.475 2.458 11.159
K 2.358 3.677 5.329
```

Output
Mass density ... 1.81 Mg/m³
SG ... Fdd2 (43)

***

Arrangement 2

This record from Alexandria describes a geometry-optimized K2C3 structure. The functional is PBE.

Structure (extended XYZ):
```
5
Lattice="8.027 -2.350 -0.001 8.027 2.350 -0.001 7.339 0.000 4.011" Properties=species:S:1:pos:R:3 pbc="T T T"
K 13.898 0.000 2.382
K 9.495 0.000 1.627
C 4.998 0.000 0.857
C 18.395 0.000 3.153
C 0.000 0.000 0.000
```

Output
Mass density ... 1.25 Mg/m³
SG ... R-3m (166)

***

Which structure is most stable, and how do the rest compare? From most to least stable: arrangement 1, arrangement 2.

***

Arrangement 1

This record from Alexandria describes a geometry-optimized KLaC2 structure. The functional is PBE.

Structure (extended XYZ):
```
4
Lattice="0.000 3.297 3.297 3.297 0.000 3.297 3.297 3.297 0.000" Properties=species:S:1:pos:R:3 pbc="T T T"
C 1.648 1.648 1.648
C 4.945 4.945 4.945
K 0.000 0.000 0.000
La 3.297 3.297 3.297
```

Output
Mass density ... 4.68 Mg/m³
SG ... Fm-3m (225)

***

Arrangement 2

This record from Alexandria describes a geometry-optimized KLaC2 structure. The functional is PBE.

Structure (extended XYZ):
```
8
Lattice="7.025 0.000 0.000 0.000 7.025 0.000 3.513 3.513 4.037" Properties=species:S:1:pos:R:3 pbc="T T T"
K 3.513 3.513 0.000
K 3.513 7.025 2.018
La 7.025 3.513 2.018
La 0.000 0.000 0.000
C 5.763 1.756 1.009
C 8.782 9.276 3.028
C 1.262 5.269 1.009
C 5.269 4.775 3.028
```

Output
Mass density ... 3.37 Mg/m³
SG ... I-42d (122)

***

Which structure is most stable, and how do the rest compare? From most to least stable: arrangement 1, arrangement 2.

***

Arrangement 1

This record from Alexandria describes a geometry-optimized KLaC3 structure. The functional is PBE.

Structure (extended XYZ):
```
5
Lattice="4.469 0.000 0.000 0.000 4.469 0.000 0.000 0.000 4.469" Properties=species:S:1:pos:R:3 pbc="T T T"
C 2.234 0.000 0.000
C 0.000 0.000 2.234
C 0.000 2.234 0.000
La 2.234 2.234 2.234
K 0.000 0.000 0.000
```

Output
Mass density ... 3.98 Mg/m³
SG ... Pm-3m (221)

***

Arrangement 2

This record from Alexandria describes a geometry-optimized KLaC3 structure. The functional is PBE.

Structure (extended XYZ):
```
5
Lattice="-1.492 1.704 4.220 -2.920 -3.765 0.488 3.491 -2.421 2.212" Properties=species:S:1:pos:R:3 pbc="T T T"
La 0.000 0.000 0.000
C -0.746 0.852 2.110
C 1.746 -1.210 1.106
C -1.460 -1.883 0.244
K -0.460 -2.241 3.460
```

Output
Mass density ... 3.23 Mg/m³
SG ... Pm-3m (221)

***

Which structure is most stable, and how do the rest compare? From most to least stable: arrangement 2, arrangement 1.